Entry 1:
# GGA-PBE Li2IrPtO6, optimized geometry
data_Li2IrPtO6
_symmetry_space_group_name_H-M 'P 4 m m'
_symmetry_Int_Tables_number 99
_cell_length_a 5.5821
_cell_length_b 5.5821
_cell_length_c 3.9783
_cell_angle_alpha 90.00
_cell_angle_beta 90.00
_cell_angle_gamma 90.00
loop_
_symmetry_equiv_pos_as_xyz
'x,y,z'
'-y,x,z'
'-x,-y,z'
'y,-x,z'
'-x,y,z'
'y,x,z'
'x,-y,z'
'-y,-x,z'
loop_
_atom_site_label
_atom_site_type_symbol
_atom_site_fract_x
_atom_site_fract_y
_atom_site_fract_z
_atom_site_occupancy
Li1 Li 0.0000 0.5000 0.0000 1
Ir1 Ir 0.0000 0.0000 0.7468 1
Pt1 Pt 0.5000 0.5000 0.7533 1
O1 O 0.0000 0.0000 0.2868 1
O2 O 0.2432 0.2432 0.8440 1
O3 O 0.5000 0.5000 0.2700 1
# Energy relative to the elements, uncorrected   -712 meV per atom
# ρ   6.66 g/cm³

=====

Entry 2:
# GGA-PBE Al5Cu2Ni, optimized geometry
data_Al5Cu2Ni
_symmetry_space_group_name_H-M 'P b a m'
_symmetry_Int_Tables_number 55
_cell_length_a 5.4162
_cell_length_b 10.6199
_cell_length_c 3.8716
_cell_angle_alpha 90.00
_cell_angle_beta 90.00
_cell_angle_gamma 90.00
loop_
_symmetry_equiv_pos_as_xyz
'x,y,z'
'-x,-y,-z'
'-x,-y,z'
'x,y,-z'
'x+1/2,-y+1/2,-z'
'-x+1/2,y+1/2,z'
'-x+1/2,y+1/2,-z'
'x+1/2,-y+1/2,z'
loop_
_atom_site_label
_atom_site_type_symbol
_atom_site_fract_x
_atom_site_fract_y
_atom_site_fract_z
_atom_site_occupancy
Al1 Al 0.0000 0.0000 0.0000 1
Al2 Al 0.0542 0.2646 0.0000 1
Al3 Al 0.2019 0.6089 0.5000 1
Cu1 Cu 0.1965 0.8661 0.5000 1
Ni1 Ni 0.0000 0.5000 0.0000 1
# Formation enthalpy at 0 K   -154 kJ/mol of formula units
# ρ   4.78 g/cm³
# Relative energy among the computed polymorphs   0.0 kJ per mole of atoms

=====

Entry 3:
# GGA-PBE VCuSn, optimized geometry
data_VCuSn
_symmetry_space_group_name_H-M 'I 4 m m'
_symmetry_Int_Tables_number 107
_symmetry_space_group_name_Hall 'I 4 -2'
_cell_length_a 3.0792
_cell_length_b 3.0792
_cell_length_c 10.2382
_cell_angle_alpha 90.00
_cell_angle_beta 90.00
_cell_angle_gamma 90.00
loop_
_atom_site_label
_atom_site_type_symbol
_atom_site_fract_x
_atom_site_fract_y
_atom_site_fract_z
_atom_site_occupancy
V1 V 0.0000 0.0000 0.0000 1
Cu1 Cu 0.0000 0.0000 0.6399 1
Sn1 Sn 0.0000 0.0000 0.3118 1
# Formation enthalpy at 0 K   84 kJ/mol of formula units
# ρ   7.98 g/cm³

=====

Entry 4:
# GGA-PBE Sc2GePb, optimized geometry
data_Sc2GePb
_symmetry_space_group_name_H-M 'P 4/m m m'
_symmetry_Int_Tables_number 123
_symmetry_space_group_name_Hall '-P 4 2'
_cell_length_a 3.2625
_cell_length_b 3.2625
_cell_length_c 8.2359
_cell_angle_alpha 90.00
_cell_angle_beta 90.00
_cell_angle_gamma 90.00
loop_
_atom_site_label
_atom_site_type_symbol
_atom_site_fract_x
_atom_site_fract_y
_atom_site_fract_z
_atom_site_occupancy
Sc1 Sc 0.0000 0.0000 0.2158 1
Ge1 Ge 0.5000 0.5000 0.0000 1
Pb1 Pb 0.5000 0.5000 0.5000 1
# Formation enthalpy at 0 K   -182 kJ/mol of formula units
# ρ   7.00 g/cm³